Here is TcHg3Ge after structural relaxation from Alexandria via LeMat-Bulk. Energies are from PBE-GGA.

Computed properties:
**Final energy**: -10.08 eV/f.u.
**N(E_F)**: 4.37 states/eV per cell
**Excess energy over the best structure of this formula in the dataset**: 17.88 kJ/mol of atoms
**Formation energy**: 1.1608 eV/atom

a = 5.2158 Å, b = 5.2158 Å, c = 5.2158 Å
α = 90.00°, β = 90.00°, γ = 90.00°
Positions (direct):
1 Tc 0.0000 0.0000 0.0000
2 Hg 0.0000 0.5000 0.5000
3 Hg 0.5000 0.0000 0.5000
4 Hg 0.5000 0.5000 0.0000
5 Ge 0.5000 0.5000 0.5000